Entry from Alexandria via LeMat-Bulk: an optimized crystal structure of NaCeMgGa (PBE).

Computed properties:
Symmetry = F-43m (216)
Total energy = -48.40 eV per cell
Total moment = 4.34 μB per cell
Formation energy = -0.056 eV per atom

Lattice parameters (Å, degrees): 7.251 7.251 7.251 90.00 90.00 90.00
Atoms (fractional coordinates):
Na (0.000, 0.000, 0.000)
Na (0.000, 0.500, 0.500)
Na (0.500, 0.000, 0.500)
Na (0.500, 0.500, 0.000)
Ce (0.250, 0.250, 0.750)
Ce (0.250, 0.750, 0.250)
Ce (0.750, 0.250, 0.250)
Ce (0.750, 0.750, 0.750)
Mg (0.250, 0.250, 0.250)
Mg (0.250, 0.750, 0.750)
Mg (0.750, 0.250, 0.750)
Mg (0.750, 0.750, 0.250)
Ga (0.000, 0.000, 0.500)
Ga (0.000, 0.500, 0.000)
Ga (0.500, 0.000, 0.000)
Ga (0.500, 0.500, 0.500)

---

Entry from Alexandria via LeMat-Bulk: an optimized crystal structure of Ce2MgGa3Ni4 (PBE).

Computed properties:
Symmetry = P-4m2 (115)
Total energy = -50.18 eV per cell
Total moment = 0.94 μB per cell
Formation energy = -0.452 eV per atom

Lattice parameters (Å, degrees): 4.008 4.008 10.738 90.00 90.00 90.00
Atoms (fractional coordinates):
Ce (0.000, 0.500, 0.244)
Ce (0.500, 0.000, 0.756)
Mg (0.000, 0.000, 0.500)
Ga (0.000, 0.500, 0.878)
Ga (0.500, 0.000, 0.122)
Ga (0.500, 0.500, 0.500)
Ni (0.000, 0.000, 0.000)
Ni (0.000, 0.500, 0.652)
Ni (0.500, 0.000, 0.348)
Ni (0.500, 0.500, 0.000)

---

Entry from Alexandria via LeMat-Bulk: an optimized crystal structure of CeMgGaNi (PBE).

Computed properties:
Symmetry = F-43m (216)
Total energy = -70.49 eV per cell
Total moment = 0.00 μB per cell
Formation energy = -0.322 eV per atom

Lattice parameters (Å, degrees): 6.746 6.746 6.746 90.00 90.00 90.00
Atoms (fractional coordinates):
Ce (0.000, 0.000, 0.000)
Ce (0.000, 0.500, 0.500)
Ce (0.500, 0.000, 0.500)
Ce (0.500, 0.500, 0.000)
Mg (0.000, 0.000, 0.500)
Mg (0.000, 0.500, 0.000)
Mg (0.500, 0.000, 0.000)
Mg (0.500, 0.500, 0.500)
Ga (0.250, 0.250, 0.750)
Ga (0.250, 0.750, 0.250)
Ga (0.750, 0.250, 0.250)
Ga (0.750, 0.750, 0.750)
Ni (0.250, 0.250, 0.250)
Ni (0.250, 0.750, 0.750)
Ni (0.750, 0.250, 0.750)
Ni (0.750, 0.750, 0.250)